Here is crystalline TcNiSnIr at its relaxed geometry from the Open Quantum Materials Database. Energies are from PBE.

Properties
As for the size of the total moment: 0.0665 μB/atom. As for the symmetry: F-43m. The total energy comes out at -7.04 eV/atom.

```
TcNiSnIr
1.0
0.000 3.117 3.117
3.117 0.000 3.117
3.117 3.117 0.000
Tc Ni Sn Ir
1 1 1 1
Cartesian
0.000 0.000 0.000
3.117 3.117 3.117
1.558 1.558 1.558
4.675 4.675 4.675
```